HfNi5 (PBE-GGA, optimized geometry); ΔE_f = -0.3424 eV/atom
1.0
4.721 0.000 0.000
2.360 4.088 0.000
2.360 1.363 3.854
Ni Hf
5 1
Direct
0.128 0.624 0.624
0.624 0.128 0.624
0.624 0.624 0.128
0.624 0.624 0.624
0.250 0.250 0.250
0.000 0.000 0.000